{
  "formula": "MoI3F",
  "functional": "SCAN",
  "state": "PBEsol geometry",
  "lattice_angstrom": [[-2.4099, 2.9194, 3.7208], [-4.3153, -3.0661, -0.3891], [1.9353, -3.2016, 3.7655]],
  "species": ["Mo", "I", "I", "I", "F"],
  "fractional_positions": [[0.0000, 0.0000, 0.0000], [0.0000, 0.5000, 0.0000], [0.5000, 0.0000, 0.0000], [0.0000, 0.0000, 0.5000], [0.5000, 0.5000, 0.5000]],
  "e_form_raw_ev_per_atom": 0.201,
  "dos_at_fermi_per_ev_atom": 0.69,
  "dft_energy_ev_per_atom": -29.53
}